1.
# SiRu2Rh PBE relaxed
# **Formation energy from raw total energies**: -0.280 eV per atom
# **Total energy**: -0.596 Ry per atom
# **V**: 109.32 Å³ per cell
data_SiRu2Rh
_chemical_formula_sum 'Si2 Ru4 Rh2'
_cell_length_a 2.843
_cell_length_b 4.285
_cell_length_c 8.974
_cell_angle_alpha 90.00
_cell_angle_beta 90.00
_cell_angle_gamma 90.00
_space_group_name_H-M_alt 'I m m m'
_space_group_IT_number 71
_space_group_name_Hall '-I 2 2'
loop_
_atom_site_label
_atom_site_type_symbol
_atom_site_fract_x
_atom_site_fract_y
_atom_site_fract_z
Si1 Si 0.000 0.000 0.000
Ru1 Ru 0.000 0.500 0.285
Rh1 Rh 0.000 0.000 0.500

***

2.
# MgIr2Rh PBE relaxed
# **Total energy**: -0.492 Ry per atom
# **V**: 60.30 Å³ per cell
data_MgIr2Rh
_chemical_formula_sum 'Mg1 Ir2 Rh1'
_cell_length_a 2.757
_cell_length_b 4.685
_cell_length_c 4.671
_cell_angle_alpha 90.00
_cell_angle_beta 92.05
_cell_angle_gamma 90.00
_space_group_name_H-M_alt 'P 1 2/m 1'
_space_group_IT_number 10
loop_
_space_group_symop_operation_xyz
'x,y,z'
'-x,-y,-z'
'-x,y,-z'
'x,-y,z'
loop_
_atom_site_label
_atom_site_type_symbol
_atom_site_fract_x
_atom_site_fract_y
_atom_site_fract_z
Mg1 Mg 0.000 0.000 0.000
Ir1 Ir 0.261 0.500 0.746
Rh1 Rh 0.500 0.000 0.500

***

3.
# Li3Dy2ZrS6 PBE relaxed
# **Formation energy from raw total energies**: -1.714 eV per atom
# **Total energy**: -0.422 Ry per atom
# **V**: 467.22 Å³ per cell
data_Li3Dy2ZrS6
_chemical_formula_sum 'Li6 Dy4 Zr2 S12'
_cell_length_a 6.603
_cell_length_b 11.433
_cell_length_c 6.569
_cell_angle_alpha 90.00
_cell_angle_beta 109.59
_cell_angle_gamma 90.00
_space_group_name_H-M_alt 'C 1 2/m 1'
_space_group_IT_number 12
loop_
_space_group_symop_operation_xyz
'x,y,z'
'-x,-y,-z'
'-x,y,-z'
'x,-y,z'
'x+1/2,y+1/2,z'
'-x+1/2,-y+1/2,-z'
'-x+1/2,y+1/2,-z'
'x+1/2,-y+1/2,z'
loop_
_atom_site_label
_atom_site_type_symbol
_atom_site_fract_x
_atom_site_fract_y
_atom_site_fract_z
Li1 Li 0.000 0.000 0.000
Li2 Li 0.000 0.337 0.000
Dy1 Dy 0.000 0.167 0.500
Zr1 Zr 0.000 0.500 0.500
S1 S 0.238 0.500 0.250
S2 S 0.245 0.340 0.753

***

4.
# Cu2AgGe PBE relaxed
# **Total energy**: -0.277 Ry per atom
# **V**: 180.52 Å³ per cell
data_Cu2AgGe
_chemical_formula_sum 'Cu6 Ag3 Ge3'
_cell_length_a 2.8862
_cell_length_b 2.8862
_cell_length_c 25.0239
_cell_angle_alpha 90.00
_cell_angle_beta 90.00
_cell_angle_gamma 120.00
_space_group_name_H-M_alt 'R 3 m'
_space_group_IT_number 160
_space_group_name_Hall 'R 3 -2"'
loop_
_atom_site_label
_atom_site_type_symbol
_atom_site_fract_x
_atom_site_fract_y
_atom_site_fract_z
Cu1 Cu 0.0000 0.0000 0.0000
Cu2 Cu 0.0000 0.0000 0.1750
Ag1 Ag 0.0000 0.0000 0.4209
Ge1 Ge 0.0000 0.0000 0.5876

***

5.
# Tm7Mg4Pb PBE relaxed
# **Total energy**: -0.248 Ry per atom
# **V**: 690.81 Å³ per cell
data_Tm7Mg4Pb
_chemical_formula_sum 'Tm14 Mg8 Pb2'
_cell_length_a 14.731
_cell_length_b 5.696
_cell_length_c 9.457
_cell_angle_alpha 90.00
_cell_angle_beta 119.48
_cell_angle_gamma 90.00
_space_group_name_H-M_alt 'C 1 2/m 1'
_space_group_IT_number 12
loop_
_space_group_symop_operation_xyz
'x,y,z'
'-x,-y,-z'
'-x,y,-z'
'x,-y,z'
'x+1/2,y+1/2,z'
'-x+1/2,-y+1/2,-z'
'-x+1/2,y+1/2,-z'
'x+1/2,-y+1/2,z'
loop_
_atom_site_label
_atom_site_type_symbol
_atom_site_fract_x
_atom_site_fract_y
_atom_site_fract_z
Tm1 Tm 0.000 0.000 0.000
Tm2 Tm 0.090 0.500 0.453
Tm3 Tm 0.179 0.500 0.870
Tm4 Tm 0.238 0.500 0.266
Mg1 Mg 0.041 0.000 0.681
Mg2 Mg 0.174 0.000 0.356
Pb1 Pb 0.000 0.500 0.000

***

6.
# Pu2AsN PBE relaxed
# **Formation energy from raw total energies**: -1.070 eV per atom
# **Total energy**: -0.844 Ry per atom
# **V**: 329.95 Å³ per cell
# **E above lowest polymorph**: 0.000 eV/atom
data_Pu2AsN
_chemical_formula_sum 'Pu8 As4 N4'
_cell_length_a 6.191
_cell_length_b 6.175
_cell_length_c 8.648
_cell_angle_alpha 90.00
_cell_angle_beta 93.62
_cell_angle_gamma 90.00
_space_group_name_H-M_alt 'C 1 2/m 1'
_space_group_IT_number 12
loop_
_space_group_symop_operation_xyz
'x,y,z'
'-x,-y,-z'
'-x,y,-z'
'x,-y,z'
'x+1/2,y+1/2,z'
'-x+1/2,-y+1/2,-z'
'-x+1/2,y+1/2,-z'
'x+1/2,-y+1/2,z'
loop_
_atom_site_label
_atom_site_type_symbol
_atom_site_fract_x
_atom_site_fract_y
_atom_site_fract_z
Pu1 Pu 0.000 0.230 0.000
Pu2 Pu 0.245 0.500 0.349
As1 As 0.235 0.000 0.300
N1 N 0.215 0.500 0.096

***

7.
# BaEr2In3 PBE relaxed
# **Total energy**: -0.267 Ry per atom
# **V**: 178.56 Å³ per cell
data_BaEr2In3
_chemical_formula_sum 'Ba1 Er2 In3'
_cell_length_a 3.849
_cell_length_b 3.849
_cell_length_c 12.050
_cell_angle_alpha 90.00
_cell_angle_beta 90.00
_cell_angle_gamma 90.00
_space_group_name_H-M_alt 'P 4/m m m'
_space_group_IT_number 123
_space_group_name_Hall '-P 4 2'
loop_
_atom_site_label
_atom_site_type_symbol
_atom_site_fract_x
_atom_site_fract_y
_atom_site_fract_z
Ba1 Ba 0.000 0.000 0.000
Er1 Er 0.000 0.000 0.350
In1 In 0.500 0.500 0.205
In2 In 0.500 0.500 0.500

***

8.
# GaTc3Ag PBE relaxed
# **Total energy**: -0.426 Ry per atom
# **V**: 93.87 Å³ per cell
# **E above lowest polymorph**: 0.000 eV/atom
data_GaTc3Ag
_chemical_formula_sum 'Ga1 Tc3 Ag1'
_cell_length_a 4.545
_cell_length_b 4.545
_cell_length_c 4.545
_cell_angle_alpha 90.00
_cell_angle_beta 90.00
_cell_angle_gamma 90.00
_space_group_name_H-M_alt 'P m -3 m'
_space_group_IT_number 221
_space_group_name_Hall '-P 4 2 3'
loop_
_atom_site_label
_atom_site_type_symbol
_atom_site_fract_x
_atom_site_fract_y
_atom_site_fract_z
Ga1 Ga 0.000 0.000 0.000
Tc1 Tc 0.000 0.000 0.500
Ag1 Ag 0.500 0.500 0.500

***

9.
# Li3Ta2CrN6 PBE relaxed
# **Formation energy from raw total energies**: -0.770 eV per atom
# **Total energy**: -0.602 Ry per atom
# **V**: 240.64 Å³ per cell
data_Li3Ta2CrN6
_chemical_formula_sum 'Li6 Ta4 Cr2 N12'
_cell_length_a 5.230
_cell_length_b 9.060
_cell_length_c 5.364
_cell_angle_alpha 90.00
_cell_angle_beta 108.77
_cell_angle_gamma 90.00
_space_group_name_H-M_alt 'C 1 2/m 1'
_space_group_IT_number 12
loop_
_space_group_symop_operation_xyz
'x,y,z'
'-x,-y,-z'
'-x,y,-z'
'x,-y,z'
'x+1/2,y+1/2,z'
'-x+1/2,-y+1/2,-z'
'-x+1/2,y+1/2,-z'
'x+1/2,-y+1/2,z'
loop_
_atom_site_label
_atom_site_type_symbol
_atom_site_fract_x
_atom_site_fract_y
_atom_site_fract_z
Li1 Li 0.000 0.000 0.000
Li2 Li 0.000 0.342 0.000
Ta1 Ta 0.000 0.167 0.500
Cr1 Cr 0.000 0.500 0.500
N1 N 0.234 0.338 0.719
N2 N 0.247 0.000 0.720

***

10.
# Mg5Ta PBE relaxed
# **Total energy**: -0.208 Ry per atom
# **V**: 512.26 Å³ per cell
data_Mg5Ta
_chemical_formula_sum 'Mg20 Ta4'
_cell_length_a 8.001
_cell_length_b 8.001
_cell_length_c 8.001
_cell_angle_alpha 90.00
_cell_angle_beta 90.00
_cell_angle_gamma 90.00
_space_group_name_H-M_alt 'F -4 3 m'
_space_group_IT_number 216
_space_group_name_Hall 'F -4 2 3'
loop_
_atom_site_label
_atom_site_type_symbol
_atom_site_fract_x
_atom_site_fract_y
_atom_site_fract_z
Mg1 Mg 0.000 0.000 0.000
Mg2 Mg 0.124 0.124 0.624
Ta1 Ta 0.250 0.250 0.250

***

11.
# GaGe2Au6 PBE relaxed
# **Total energy**: -0.260 Ry per atom
# **V**: 369.11 Å³ per cell
# **E above lowest polymorph**: 0.025 eV/atom
data_GaGe2Au6
_chemical_formula_sum 'Ga2 Ge4 Au12'
_cell_length_a 14.032
_cell_length_b 3.896
_cell_length_c 7.546
_cell_angle_alpha 90.00
_cell_angle_beta 116.54
_cell_angle_gamma 90.00
_space_group_name_H-M_alt 'C 1 2/m 1'
_space_group_IT_number 12
loop_
_space_group_symop_operation_xyz
'x,y,z'
'-x,-y,-z'
'-x,y,-z'
'x,-y,z'
'x+1/2,y+1/2,z'
'-x+1/2,-y+1/2,-z'
'-x+1/2,y+1/2,-z'
'x+1/2,-y+1/2,z'
loop_
_atom_site_label
_atom_site_type_symbol
_atom_site_fract_x
_atom_site_fract_y
_atom_site_fract_z
Ga1 Ga 0.000 0.000 0.000
Ge1 Ge 0.149 0.000 0.397
Au1 Au 0.002 0.500 0.752
Au2 Au 0.168 0.000 0.929
Au3 Au 0.180 0.500 0.658

***

12.
# RePOs2 PBE relaxed
# **Total energy**: -0.716 Ry per atom
# **V**: 58.18 Å³ per cell
data_RePOs2
_chemical_formula_sum 'Re1 P1 Os2'
_cell_length_a 2.834
_cell_length_b 3.801
_cell_length_c 5.400
_cell_angle_alpha 90.00
_cell_angle_beta 90.00
_cell_angle_gamma 90.00
_space_group_name_H-M_alt 'P m m 2'
_space_group_IT_number 25
loop_
_space_group_symop_operation_xyz
'x,y,z'
'-x,-y,z'
'-x,y,z'
'x,-y,z'
loop_
_atom_site_label
_atom_site_type_symbol
_atom_site_fract_x
_atom_site_fract_y
_atom_site_fract_z
Re1 Re 0.000 0.000 0.000
P1 P 0.500 0.500 0.659
Os1 Os 0.000 0.000 0.525
Os2 Os 0.500 0.500 0.199